Record 1
Ta2WCl: relaxed, PBE-GGA.

Unit cell a=5.6109 b=5.6109 c=5.6109 alpha=149.81 beta=130.21 gamma=59.34
Fractional positions:
Cl1 0.7415 0.2415 0.5000
Ta1 0.9761 0.9761 0.0000
Ta2 0.2565 0.7565 0.5000
W1 0.5259 0.5259 0.0000

Output
- Space group: Imm2 (44)
- Calculated volume: 67 Å³/cell
- E_form (uncorrected): 596 meV/atom
- Energy above the most stable polymorph in this dataset: 56.59 kJ per mole of atoms

***

Record 2
Ta2WCl: relaxed, PBE-GGA.

Unit cell a=5.3380 b=5.3380 c=4.6985 alpha=75.20 beta=75.20 gamma=33.71
Fractional positions:
Cl1 0.2787 0.2787 0.2772
Ta1 0.9961 0.9961 0.9819
Ta2 0.7384 0.7384 0.7209
W1 0.4868 0.4868 0.5201

Output
- Space group: Cm (8)
- Calculated volume: 72 Å³/cell
- E_form (uncorrected): 575 meV/atom
- Energy above the most stable polymorph in this dataset: 54.61 kJ per mole of atoms

***

Record 3
Ta2WCl: relaxed, PBE-GGA.

Unit cell a=2.8991 b=2.8991 c=10.3951 alpha=90.00 beta=90.00 gamma=112.55
Fractional positions:
Cl1 0.5000 0.5000 0.8191
Ta1 0.0000 0.0000 0.0062
Ta2 0.5000 0.5000 0.2345
W1 0.0000 0.0000 0.4402

Output
- Space group: Cmm2 (35)
- Calculated volume: 81 Å³/cell
- E_form (uncorrected): 150 meV/atom
- Energy above the most stable polymorph in this dataset: 13.57 kJ per mole of atoms

***

Record 4
Ta2WCl: relaxed, PBE-GGA.

Unit cell a=2.8369 b=4.5803 c=5.4532 alpha=90.00 beta=90.00 gamma=90.00
Fractional positions:
Cl1 0.5000 0.5000 0.7767
Ta1 0.0000 0.0000 0.9977
Ta2 0.5000 0.5000 0.2544
W1 0.0000 0.0000 0.4712

Output
- Space group: Pmm2 (25)
- Calculated volume: 71 Å³/cell
- E_form (uncorrected): 576 meV/atom
- Energy above the most stable polymorph in this dataset: 54.71 kJ per mole of atoms